Entry from the Open Quantum Materials Database: a geometry-optimized CoPtSO structure (GGA+U).

Computed properties:
* offset from the most stable computed form: 0.00 eV per formula unit
* calculated total energy: -5.532 eV/atom

Structure (CIF):
```
data_CoPtSO
_chemical_formula_sum 'Co2 Pt2 S2 O2'
_space_group_name_H-M_alt 'P 1'
_space_group_IT_number 1
_cell_length_a 3.830
_cell_length_b 3.830
_cell_length_c 7.697
_cell_angle_alpha 90.00
_cell_angle_beta 90.00
_cell_angle_gamma 90.00
loop_
_space_group_symop_operation_xyz
'x,y,z'
loop_
_atom_site_label
_atom_site_type_symbol
_atom_site_fract_x
_atom_site_fract_y
_atom_site_fract_z
Co1 Co 0.250 0.250 0.238
Co2 Co 0.750 0.750 0.762
Pt1 Pt 0.250 0.750 0.000
Pt2 Pt 0.750 0.250 0.000
S1 S 0.250 0.250 0.690
S2 S 0.750 0.750 0.310
O1 O 0.250 0.250 0.490
O2 O 0.750 0.750 0.510
```